# Ti6Sn2C, optimized geometry, DFT GGA-PBE
data_Ti6Sn2C
_chemical_formula_sum 'Ti12 Sn4 C2'
_space_group_name_H-M_alt 'P 42/m n m'
_space_group_IT_number 136
_space_group_name_Hall '-P 4n 2n'
_cell_length_a 5.3039
_cell_length_b 5.3039
_cell_length_c 13.0336
_cell_angle_alpha 90.00
_cell_angle_beta 90.00
_cell_angle_gamma 90.00
loop_
_atom_site_label
_atom_site_fract_x
_atom_site_fract_y
_atom_site_fract_z
Ti1 0.1879 0.1879 0.1087
Ti2 0.1995 0.1995 0.5000
Sn1 0.0000 0.0000 0.2992
C1 0.0000 0.0000 0.0000
# ρ ... 4.9 Mg/m³
# DOS(E_F) ... 1.21 states/eV/atom
# Energy above the lowest structure with this stoichiometry ... 578 meV per atom
# E_form ... 1.0 eV per formula unit